Record 1
# Fe5Rh3O12 GGA+U optimized geometry
data_Fe5Rh3O12
_cell_length_a 10.452
_cell_length_b 10.452
_cell_length_c 10.452
_cell_angle_alpha 109.47
_cell_angle_beta 109.47
_cell_angle_gamma 109.47
_symmetry_space_group_name_H-M 'P 1'
_symmetry_Int_Tables_number 1
loop_
_symmetry_equiv_pos_as_xyz
'x,y,z'
loop_
_atom_site_label
_atom_site_type_symbol
_atom_site_fract_x
_atom_site_fract_y
_atom_site_fract_z
_atom_site_occupancy
O1 O 0.922 0.093 0.632 1
O2 O 0.329 0.790 0.422 1
O3 O 0.422 0.290 0.329 1
O4 O 0.593 0.961 0.671 1
O5 O 0.171 0.093 0.961 1
O6 O 0.368 0.407 0.078 1
O7 O 0.171 0.078 0.710 1
O8 O 0.290 0.868 0.961 1
O9 O 0.829 0.922 0.290 1
O10 O 0.539 0.210 0.132 1
O11 O 0.907 0.078 0.868 1
O12 O 0.790 0.329 0.922 1
O13 O 0.710 0.132 0.039 1
O14 O 0.093 0.171 0.461 1
O15 O 0.671 0.210 0.578 1
O16 O 0.961 0.593 0.171 1
O17 O 0.868 0.578 0.907 1
O18 O 0.368 0.961 0.790 1
O19 O 0.039 0.632 0.710 1
O20 O 0.632 0.039 0.210 1
O21 O 0.593 0.632 0.422 1
O22 O 0.922 0.829 0.790 1
O23 O 0.710 0.578 0.171 1
O24 O 0.093 0.922 0.132 1
O25 O 0.210 0.671 0.078 1
O26 O 0.329 0.539 0.407 1
O27 O 0.671 0.461 0.593 1
O28 O 0.407 0.039 0.329 1
O29 O 0.961 0.368 0.290 1
O30 O 0.539 0.329 0.907 1
O31 O 0.407 0.368 0.578 1
O32 O 0.578 0.868 0.407 1
O33 O 0.461 0.790 0.868 1
O34 O 0.422 0.132 0.593 1
O35 O 0.578 0.710 0.671 1
O36 O 0.461 0.671 0.093 1
O37 O 0.868 0.290 0.461 1
O38 O 0.078 0.907 0.368 1
O39 O 0.829 0.907 0.039 1
O40 O 0.790 0.461 0.368 1
O41 O 0.907 0.829 0.539 1
O42 O 0.078 0.171 0.210 1
O43 O 0.632 0.593 0.922 1
O44 O 0.210 0.539 0.632 1
O45 O 0.132 0.710 0.539 1
O46 O 0.039 0.407 0.829 1
O47 O 0.290 0.422 0.829 1
O48 O 0.132 0.422 0.093 1
Rh1 Rh 0.625 0.250 0.375 1
Rh2 Rh 0.250 0.625 0.875 1
Rh3 Rh 0.875 0.125 0.250 1
Rh4 Rh 0.125 0.250 0.875 1
Rh5 Rh 0.750 0.875 0.625 1
Rh6 Rh 0.750 0.375 0.125 1
Rh7 Rh 0.625 0.375 0.750 1
Rh8 Rh 0.250 0.125 0.375 1
Rh9 Rh 0.875 0.750 0.125 1
Rh10 Rh 0.375 0.625 0.250 1
Rh11 Rh 0.375 0.750 0.625 1
Rh12 Rh 0.125 0.875 0.750 1
Fe1 Fe 0.125 0.750 0.375 1
Fe2 Fe 0.750 0.125 0.875 1
Fe3 Fe 0.250 0.375 0.625 1
Fe4 Fe 0.000 0.000 0.500 1
Fe5 Fe 0.375 0.125 0.750 1
Fe6 Fe 0.000 0.000 0.000 1
Fe7 Fe 0.000 0.500 0.000 1
Fe8 Fe 0.625 0.875 0.250 1
Fe9 Fe 0.375 0.250 0.125 1
Fe10 Fe 0.625 0.750 0.875 1
Fe11 Fe 0.750 0.625 0.375 1
Fe12 Fe 0.000 0.500 0.500 1
Fe13 Fe 0.500 0.000 0.000 1
Fe14 Fe 0.500 0.500 0.000 1
Fe15 Fe 0.875 0.250 0.625 1
Fe16 Fe 0.875 0.625 0.750 1
Fe17 Fe 0.250 0.875 0.125 1
Fe18 Fe 0.500 0.000 0.500 1
Fe19 Fe 0.125 0.375 0.250 1
Fe20 Fe 0.500 0.500 0.500 1
# Calculated volume ... 10.99 Å³/atom
# Density of states at the Fermi level ... 25.90 states/eV/cell

***

Record 2
# FeRh2O4 GGA+U optimized geometry
data_FeRh2O4
_cell_length_a 3.092
_cell_length_b 5.338
_cell_length_c 5.869
_cell_angle_alpha 117.24
_cell_angle_beta 105.27
_cell_angle_gamma 90.00
_symmetry_space_group_name_H-M 'P 1'
_symmetry_Int_Tables_number 1
loop_
_symmetry_equiv_pos_as_xyz
'x,y,z'
loop_
_atom_site_label
_atom_site_type_symbol
_atom_site_fract_x
_atom_site_fract_y
_atom_site_fract_z
_atom_site_occupancy
O1 O 0.359 0.012 0.718 1
O2 O 0.641 0.988 0.282 1
O3 O 0.142 0.458 0.284 1
O4 O 0.858 0.542 0.716 1
Fe1 Fe 0.000 0.000 0.000 1
Rh1 Rh 0.737 0.731 0.474 1
Rh2 Rh 0.263 0.269 0.526 1
# Calculated volume ... 11.75 Å³/atom

***

Record 3
# FeRhO3 GGA+U optimized geometry
data_FeRhO3
_cell_length_a 3.042
_cell_length_b 5.240
_cell_length_c 7.514
_cell_angle_alpha 102.25
_cell_angle_beta 90.00
_cell_angle_gamma 90.00
_symmetry_space_group_name_H-M 'P 1'
_symmetry_Int_Tables_number 1
loop_
_symmetry_equiv_pos_as_xyz
'x,y,z'
loop_
_atom_site_label
_atom_site_type_symbol
_atom_site_fract_x
_atom_site_fract_y
_atom_site_fract_z
_atom_site_occupancy
O1 O 0.750 0.291 0.993 1
O2 O 0.750 0.442 0.638 1
O3 O 0.250 0.990 0.654 1
O4 O 0.250 0.709 0.007 1
O5 O 0.250 0.558 0.362 1
O6 O 0.750 0.010 0.346 1
Fe1 Fe 0.750 0.772 0.545 1
Fe2 Fe 0.250 0.228 0.455 1
Rh1 Rh 0.750 0.643 0.167 1
Rh2 Rh 0.250 0.357 0.833 1
# Calculated volume ... 11.70 Å³/atom
# Density of states at the Fermi level ... 0.03 states/eV/cell

***

Record 4
# FeRhO3 GGA+U optimized geometry
data_FeRhO3
_cell_length_a 3.649
_cell_length_b 3.649
_cell_length_c 3.649
_cell_angle_alpha 90.00
_cell_angle_beta 90.00
_cell_angle_gamma 90.00
_symmetry_space_group_name_H-M 'P 1'
_symmetry_Int_Tables_number 1
loop_
_symmetry_equiv_pos_as_xyz
'x,y,z'
loop_
_atom_site_label
_atom_site_type_symbol
_atom_site_fract_x
_atom_site_fract_y
_atom_site_fract_z
_atom_site_occupancy
O1 O 0.000 0.000 0.500 1
O2 O 0.500 0.000 0.000 1
O3 O 0.000 0.500 0.000 1
Rh1 Rh 0.500 0.500 0.500 1
Fe1 Fe 0.000 0.000 0.000 1
# Calculated volume ... 9.72 Å³/atom
# Density of states at the Fermi level ... 6.15 states/eV/cell

***

Record 5
# Fe3RhO GGA+U optimized geometry
data_Fe3RhO
_cell_length_a 4.138
_cell_length_b 4.138
_cell_length_c 4.138
_cell_angle_alpha 90.00
_cell_angle_beta 90.00
_cell_angle_gamma 90.00
_symmetry_space_group_name_H-M 'P 1'
_symmetry_Int_Tables_number 1
loop_
_symmetry_equiv_pos_as_xyz
'x,y,z'
loop_
_atom_site_label
_atom_site_type_symbol
_atom_site_fract_x
_atom_site_fract_y
_atom_site_fract_z
_atom_site_occupancy
Fe1 Fe 0.500 0.000 0.000 1
Fe2 Fe 0.000 0.000 0.500 1
Fe3 Fe 0.000 0.500 0.000 1
Rh1 Rh 0.500 0.500 0.500 1
O1 O 0.000 0.000 0.000 1
# Calculated volume ... 14.17 Å³/atom
# Density of states at the Fermi level ... 1.43 states/eV/cell

***

Record 6
# FeRuRhO6 GGA+U optimized geometry
data_FeRuRhO6
_cell_length_a 4.936
_cell_length_b 4.936
_cell_length_c 8.731
_cell_angle_alpha 90.00
_cell_angle_beta 90.00
_cell_angle_gamma 120.00
_symmetry_space_group_name_H-M 'P 1'
_symmetry_Int_Tables_number 1
loop_
_symmetry_equiv_pos_as_xyz
'x,y,z'
loop_
_atom_site_label
_atom_site_type_symbol
_atom_site_fract_x
_atom_site_fract_y
_atom_site_fract_z
_atom_site_occupancy
Ru1 Ru 0.667 0.333 0.250 1
Ru2 Ru 0.333 0.667 0.750 1
O1 O 0.670 0.663 0.122 1
O2 O 0.663 0.670 0.622 1
O3 O 0.330 0.337 0.878 1
O4 O 0.670 0.008 0.378 1
O5 O 0.008 0.670 0.878 1
O6 O 0.992 0.330 0.122 1
O7 O 0.663 0.992 0.878 1
O8 O 0.337 0.330 0.378 1
O9 O 0.008 0.337 0.622 1
O10 O 0.330 0.992 0.622 1
O11 O 0.337 0.008 0.122 1
O12 O 0.992 0.663 0.378 1
Rh1 Rh 0.333 0.667 0.250 1
Rh2 Rh 0.667 0.333 0.750 1
Fe1 Fe 0.000 0.000 0.000 1
Fe2 Fe 0.000 0.000 0.500 1
# Calculated volume ... 10.24 Å³/atom
# Density of states at the Fermi level ... 8.64 states/eV/cell

***

Record 7
# FeSb2RhO GGA+U optimized geometry
data_FeSb2RhO
_cell_length_a 4.746
_cell_length_b 4.115
_cell_length_c 4.746
_cell_angle_alpha 90.00
_cell_angle_beta 90.00
_cell_angle_gamma 90.00
_symmetry_space_group_name_H-M 'P 1'
_symmetry_Int_Tables_number 1
loop_
_symmetry_equiv_pos_as_xyz
'x,y,z'
loop_
_atom_site_label
_atom_site_type_symbol
_atom_site_fract_x
_atom_site_fract_y
_atom_site_fract_z
_atom_site_occupancy
Rh1 Rh 0.000 0.500 0.000 1
Sb1 Sb 0.000 0.000 0.500 1
Sb2 Sb 0.500 0.000 0.000 1
Fe1 Fe 0.500 0.500 0.500 1
O1 O 0.000 0.000 0.000 1
# Calculated volume ... 18.54 Å³/atom
# Density of states at the Fermi level ... 2.14 states/eV/cell

***

Record 8
# FeSbRh2O6 GGA+U optimized geometry
data_FeSbRh2O6
_cell_length_a 5.373
_cell_length_b 5.334
_cell_length_c 5.676
_cell_angle_alpha 61.67
_cell_angle_beta 61.78
_cell_angle_gamma 59.82
_symmetry_space_group_name_H-M 'P 1'
_symmetry_Int_Tables_number 1
loop_
_symmetry_equiv_pos_as_xyz
'x,y,z'
loop_
_atom_site_label
_atom_site_type_symbol
_atom_site_fract_x
_atom_site_fract_y
_atom_site_fract_z
_atom_site_occupancy
O1 O 0.127 0.409 0.753 1
O2 O 0.229 0.910 0.236 1
O3 O 0.623 0.226 0.239 1
O4 O 0.406 0.715 0.753 1
O5 O 0.909 0.623 0.239 1
O6 O 0.714 0.125 0.755 1
Sb1 Sb 0.315 0.313 0.059 1
Rh1 Rh 0.515 0.515 0.454 1
Rh2 Rh 0.014 0.015 0.957 1
Fe1 Fe 0.810 0.810 0.569 1
# Calculated volume ... 11.78 Å³/atom
# Density of states at the Fermi level ... 4.23 states/eV/cell

***

Record 9
# FeSbRh2O GGA+U optimized geometry
data_FeSbRh2O
_cell_length_a 4.578
_cell_length_b 4.862
_cell_length_c 4.578
_cell_angle_alpha 90.00
_cell_angle_beta 90.00
_cell_angle_gamma 90.00
_symmetry_space_group_name_H-M 'P 1'
_symmetry_Int_Tables_number 1
loop_
_symmetry_equiv_pos_as_xyz
'x,y,z'
loop_
_atom_site_label
_atom_site_type_symbol
_atom_site_fract_x
_atom_site_fract_y
_atom_site_fract_z
_atom_site_occupancy
Sb1 Sb 0.000 0.500 0.000 1
Rh1 Rh 0.500 0.000 0.000 1
Rh2 Rh 0.000 0.000 0.500 1
Fe1 Fe 0.000 0.000 0.000 1
O1 O 0.500 0.500 0.500 1
# Calculated volume ... 20.38 Å³/atom
# Density of states at the Fermi level ... 5.60 states/eV/cell

***

Record 10
# Sc2FeRhO GGA+U optimized geometry
data_Sc2FeRhO
_cell_length_a 4.923
_cell_length_b 4.656
_cell_length_c 4.923
_cell_angle_alpha 90.00
_cell_angle_beta 90.00
_cell_angle_gamma 90.00
_symmetry_space_group_name_H-M 'P 1'
_symmetry_Int_Tables_number 1
loop_
_symmetry_equiv_pos_as_xyz
'x,y,z'
loop_
_atom_site_label
_atom_site_type_symbol
_atom_site_fract_x
_atom_site_fract_y
_atom_site_fract_z
_atom_site_occupancy
Sc1 Sc 0.000 0.000 0.500 1
Sc2 Sc 0.500 0.000 0.000 1
O1 O 0.500 0.500 0.500 1
Fe1 Fe 0.000 0.500 0.000 1
Rh1 Rh 0.000 0.000 0.000 1
# Calculated volume ... 22.57 Å³/atom
# Density of states at the Fermi level ... 3.11 states/eV/cell

***

Record 11
# FeSiRh2O GGA+U optimized geometry
data_FeSiRh2O
_cell_length_a 4.677
_cell_length_b 3.314
_cell_length_c 4.677
_cell_angle_alpha 90.00
_cell_angle_beta 90.00
_cell_angle_gamma 90.00
_symmetry_space_group_name_H-M 'P 1'
_symmetry_Int_Tables_number 1
loop_
_symmetry_equiv_pos_as_xyz
'x,y,z'
loop_
_atom_site_label
_atom_site_type_symbol
_atom_site_fract_x
_atom_site_fract_y
_atom_site_fract_z
_atom_site_occupancy
Si1 Si 0.000 0.000 0.000 1
O1 O 0.000 0.500 0.000 1
Fe1 Fe 0.500 0.500 0.500 1
Rh1 Rh 0.500 0.000 0.000 1
Rh2 Rh 0.000 0.000 0.500 1
# Calculated volume ... 14.50 Å³/atom
# Density of states at the Fermi level ... 2.42 states/eV/cell

***

Record 12
# FeSnRhO2 GGA+U optimized geometry
data_FeSnRhO2
_cell_length_a 3.875
_cell_length_b 6.195
_cell_length_c 3.875
_cell_angle_alpha 90.00
_cell_angle_beta 90.00
_cell_angle_gamma 90.00
_symmetry_space_group_name_H-M 'P 1'
_symmetry_Int_Tables_number 1
loop_
_symmetry_equiv_pos_as_xyz
'x,y,z'
loop_
_atom_site_label
_atom_site_type_symbol
_atom_site_fract_x
_atom_site_fract_y
_atom_site_fract_z
_atom_site_occupancy
Sn1 Sn 0.000 0.000 0.000 1
Rh1 Rh 0.500 0.500 0.500 1
Fe1 Fe 0.000 0.500 0.000 1
O1 O 0.500 0.000 0.000 1
O2 O 0.000 0.000 0.500 1
# Calculated volume ... 18.60 Å³/atom
# Density of states at the Fermi level ... 1.28 states/eV/cell

***

| no. | E (eV/atom) |
| --- | --- |
| 1 | -6.145 |
| 2 | -6.512 |
| 3 | -6.538 |
| 4 | -5.283 |
| 5 | -5.931 |
| 6 | -6.487 |
| 7 | -5.022 |
| 8 | -6.391 |
| 9 | -4.395 |
| 10 | -5.798 |
| 11 | -6.099 |
| 12 | -5.139 |